(1)
{
  "formula": "NaNdCdTe3",
  "functional": "GGA-PBE",
  "state": "optimized geometry",
  "cell": [[4.6218, 0.3031, -6.2346], [-7.1527, 1.0576, 2.8362], [2.6818, 11.3290, 2.5389]],
  "species": ["Cd", "Cd", "Na", "Na", "Nd", "Nd", "Te", "Te", "Te", "Te", "Te", "Te"],
  "frac_coords": [[0.0286, 0.9714, 0.2500], [0.9714, 0.0286, 0.7500], [0.7321, 0.2679, 0.2500], [0.2679, 0.7321, 0.7500], [0.5000, 0.5000, 0.0000], [0.5000, 0.5000, 0.5000], [0.1445, 0.8555, 0.0626], [0.4069, 0.5931, 0.2500], [0.1445, 0.8555, 0.4374], [0.8555, 0.1445, 0.5626], [0.5931, 0.4069, 0.7500], [0.8555, 0.1445, 0.9374]],
  "relative_energy_mev_per_atom": 0,
  "magnetic_moment_mub_per_atom": 0.00,
  "space_group": "No. 63"
}

(2)
{
  "formula": "BaCdTeO",
  "functional": "GGA-PBE",
  "state": "optimized geometry",
  "cell": [[4.5677, 0.0000, 0.0000], [0.0000, 4.5677, 0.0000], [0.0000, 0.0000, 9.7767]],
  "species": ["Ba", "Ba", "Cd", "Cd", "O", "O", "Te", "Te"],
  "frac_coords": [[0.7500, 0.7500, 0.2367], [0.2500, 0.2500, 0.7633], [0.2500, 0.2500, 0.4225], [0.7500, 0.7500, 0.5775], [0.7500, 0.2500, 0.5000], [0.2500, 0.7500, 0.5000], [0.2500, 0.2500, 0.1341], [0.7500, 0.7500, 0.8659]],
  "e_tot_ev_per_atom": -3.99,
  "space_group": "No. 129"
}

(3)
{
  "formula": "GdAlInTe3",
  "functional": "GGA-PBE",
  "state": "optimized geometry",
  "cell": [[6.8436, 3.2610, -2.0678], [-7.2783, 1.1019, 2.7491], [3.8788, -1.2985, 10.7896]],
  "species": ["Al", "Al", "Gd", "Gd", "In", "In", "Te", "Te", "Te", "Te", "Te", "Te"],
  "frac_coords": [[0.4672, 0.5328, 0.2500], [0.5328, 0.4672, 0.7500], [0.0000, 0.0000, 0.0000], [0.0000, 0.0000, 0.5000], [0.7660, 0.2340, 0.2500], [0.2340, 0.7660, 0.7500], [0.3601, 0.6399, 0.0620], [0.0786, 0.9214, 0.2500], [0.3601, 0.6399, 0.4380], [0.6399, 0.3601, 0.5620], [0.9214, 0.0786, 0.7500], [0.6399, 0.3601, 0.9380]],
  "e_tot_ev_per_atom": -4.07,
  "magnetic_moment_mub_per_atom": 0.00,
  "space_group": "No. 63"
}

(4)
{
  "formula": "AcTm2O4",
  "functional": "GGA-PBE",
  "state": "optimized geometry",
  "cell": [[4.0164, 4.5305, -3.3132], [-1.1617, -6.2281, -2.7377], [-5.0778, 4.6686, 0.2315]],
  "species": ["Ac", "Ac", "O", "O", "O", "O", "O", "O", "O", "O", "Tm", "Tm", "Tm", "Tm"],
  "frac_coords": [[0.0000, 0.0000, 0.0000], [0.7500, 0.5000, 0.2500], [0.6067, 0.2135, 0.3932], [0.1797, 0.7865, 0.3932], [0.6068, 0.7865, 0.3933], [0.1432, 0.2865, 0.4297], [0.6068, 0.2135, 0.8203], [0.1432, 0.7135, 0.8567], [0.1433, 0.2865, 0.8568], [0.5703, 0.7135, 0.8568], [0.3750, 0.7500, 0.1250], [0.8750, 0.2500, 0.6250], [0.3750, 0.7500, 0.6250], [0.3750, 0.2500, 0.6250]],
  "e_tot_ev_per_atom": -8.00,
  "magnetic_moment_mub_per_atom": 0.00,
  "space_group": "No. 227"
}

(5)
{
  "formula": "LiTaS2",
  "functional": "GGA-PBE",
  "state": "optimized geometry",
  "cell": [[-2.9909, -0.5707, 1.3819], [2.5910, -1.9778, 0.7456], [3.0814, 7.7586, 9.8728]],
  "species": ["Li", "Li", "S", "S", "S", "S", "Ta", "Ta"],
  "frac_coords": [[0.0000, 0.0000, 0.0000], [0.0000, 0.0000, 0.5000], [0.6667, 0.3333, 0.1276], [0.6667, 0.3333, 0.3724], [0.3333, 0.6667, 0.6276], [0.3333, 0.6667, 0.8724], [0.0000, 0.0000, 0.2500], [0.0000, 0.0000, 0.7500]],
  "e_tot_ev_per_atom": -6.78,
  "magnetic_moment_mub_per_atom": 0.00,
  "space_group": "No. 194"
}

(6)
{
  "formula": "PmNdNO",
  "functional": "GGA-PBE",
  "state": "optimized geometry",
  "cell": [[8.3510, 0.0000, 0.0000], [0.0000, 7.0203, 0.0000], [0.0000, 0.0000, 5.1237]],
  "species": ["N", "N", "N", "N", "Nd", "Nd", "Nd", "Nd", "O", "O", "O", "O", "Pm", "Pm", "Pm", "Pm"],
  "frac_coords": [[0.3720, 0.0710, 0.2500], [0.6280, 0.5710, 0.2500], [0.3720, 0.4290, 0.7500], [0.6280, 0.9290, 0.7500], [0.3730, 0.4167, 0.2500], [0.6270, 0.9167, 0.2500], [0.3730, 0.0833, 0.7500], [0.6270, 0.5833, 0.7500], [0.8731, 0.0935, 0.2500], [0.1269, 0.5935, 0.2500], [0.8731, 0.4065, 0.7500], [0.1269, 0.9065, 0.7500], [0.8775, 0.4247, 0.2500], [0.1225, 0.9247, 0.2500], [0.8775, 0.0753, 0.7500], [0.1225, 0.5753, 0.7500]],
  "relative_energy_mev_per_atom": 10,
  "magnetic_moment_mub_per_atom": 0.00,
  "space_group": "No. 57"
}

(7)
{
  "formula": "HfMoAu",
  "functional": "GGA-PBE",
  "state": "optimized geometry",
  "cell": [[-3.3227, 2.4411, 1.7301], [-2.1668, 2.9586, -2.5582], [-4.2259, -0.7829, -1.2335]],
  "species": ["Au", "Hf", "Mo"],
  "frac_coords": [[0.2500, 0.2500, 0.2500], [0.0000, 0.0000, 0.0000], [0.7500, 0.7500, 0.7500]],
  "relative_energy_mev_per_atom": 202,
  "magnetic_moment_mub_per_atom": 0.73,
  "space_group": "No. 216",
  "formation_energy_ev_per_fu": 2.3
}

(8)
{
  "formula": "HfZnTc",
  "functional": "GGA-PBE",
  "state": "optimized geometry",
  "cell": [[0.8796, 2.3485, 3.5701], [1.5959, 4.0421, -0.3864], [-2.4893, 3.4349, 1.0196]],
  "species": ["Hf", "Tc", "Zn"],
  "frac_coords": [[0.2500, 0.2500, 0.2500], [0.0000, 0.0000, 0.0000], [0.7500, 0.7500, 0.7500]],
  "relative_energy_mev_per_atom": 0,
  "magnetic_moment_mub_per_atom": 0.03,
  "space_group": "No. 216",
  "formation_energy_ev_per_fu": 1.1
}